[1]
Computed, not measured: a relaxed structure of Ta2AsO at the GGA-PBE level of DFT.

## Properties
**Final energy**: -8.82 eV per atom
**Formation energy (no corrections)**: -0.50 eV/atom
**Energy relative to the lowest polymorph listed for this composition**: 0.0 meV per atom

Cell and atoms, written as POSCAR:
```
Ta2AsO
1.0
4.827 0.000 0.000
0.000 4.827 0.000
2.414 2.414 6.202
As O Ta
2 2 4
Cartesian
0.000 0.000 0.000
4.827 2.414 3.101
2.414 2.414 0.000
2.414 4.827 3.101
3.129 1.207 1.551
1.698 3.620 1.551
3.620 4.111 4.652
6.034 5.543 4.652
```

***

[2]
Computed, not measured: a relaxed structure of Sm4OsPd at the GGA-PBE level of DFT.

## Properties
**Final energy**: -6.24 eV per atom
**Energy relative to the lowest polymorph listed for this composition**: 0.0 meV per atom

Cell and atoms, written as POSCAR:
```
Sm4OsPd
1.0
6.290 0.013 -0.803
-1.491 6.746 -3.187
-0.100 0.240 7.604
Sm Os Pd
8 2 2
Cartesian
4.830 4.416 3.131
-1.201 6.338 -0.878
3.219 1.635 1.662
1.849 4.895 -2.141
2.851 2.104 5.754
1.481 5.364 1.951
5.901 0.661 4.491
-0.131 2.582 0.482
0.083 6.742 -3.376
4.617 0.257 6.989
3.747 4.324 0.243
0.953 2.675 3.370
```

***

[3]
Computed, not measured: a relaxed structure of La6Nd2Y3Mg at the GGA-PBE level of DFT.

## Properties
**Final energy**: -5.00 eV per atom

Cell and atoms, written as POSCAR:
```
La6Nd2Y3Mg
1.0
6.343 -0.002 -0.018
-3.171 5.493 -0.018
-1.025 -1.774 11.833
La Nd Y Mg
6 2 3 1
Cartesian
3.189 1.892 8.839
2.131 3.691 2.939
-1.042 1.825 2.958
0.045 3.707 8.839
0.015 0.026 8.859
2.101 0.009 2.958
-0.004 3.664 -0.018
3.176 1.827 -0.018
-2.102 3.692 5.899
4.249 0.024 5.899
1.073 1.858 5.899
0.000 0.000 0.000
```

***

[4]
Computed, not measured: a relaxed structure of Si2HgRu at the GGA-PBE level of DFT.

## Properties
**Final energy**: -4.63 eV per atom
**Formation energy (no corrections)**: 0.48 eV/atom

Cell and atoms, written as POSCAR:
```
Si2HgRu
1.0
4.965 0.006 0.000
1.899 4.588 0.000
-3.432 -2.297 2.757
Hg Ru Si
1 1 2
Cartesian
3.432 2.297 0.000
2.483 0.003 1.378
0.000 0.000 0.000
0.949 2.294 1.378
```

***

[5]
Computed, not measured: a relaxed structure of AcNd2HoAs4 at the GGA-PBE level of DFT.

## Properties
**Final energy**: -6.07 eV per atom

Cell and atoms, written as POSCAR:
```
AcNd2HoAs4
1.0
-3.449 -2.561 0.334
4.256 -5.343 2.996
0.122 0.801 7.411
Ac Nd Ho As
1 2 1 4
Cartesian
0.404 -3.952 1.665
0.122 0.801 7.411
-1.664 -0.880 3.872
2.189 -2.271 5.204
3.307 -3.448 7.725
-2.378 -3.654 3.015
1.490 -5.066 4.344
-0.561 -2.036 6.397
```

***

[6]
Computed, not measured: a relaxed structure of PmTh2Pt3 at the GGA-PBE level of DFT.

## Properties
**Final energy**: -7.47 eV per atom

Cell and atoms, written as POSCAR:
```
PmTh2Pt3
1.0
7.116 0.011 -1.311
-2.742 6.566 -1.311
0.024 0.037 13.338
Pm Th Pt
4 8 12
Cartesian
4.028 6.058 8.708
0.103 5.501 7.365
-0.635 4.390 3.350
0.369 0.555 2.008
5.768 3.330 11.367
1.844 2.774 10.033
5.030 2.219 7.351
1.106 1.664 6.017
3.291 4.950 4.698
4.297 1.117 3.364
2.553 3.840 0.683
3.558 0.007 -0.652
-0.602 4.383 10.052
4.295 1.172 10.039
0.360 0.599 8.644
2.579 3.821 7.345
5.740 3.288 4.712
3.586 0.048 6.004
1.871 2.757 3.370
3.984 6.049 2.072
4.979 2.199 0.676
0.123 5.473 0.664
1.110 1.669 -0.665
3.264 4.908 -1.957
```

***

[7]
Computed, not measured: a relaxed structure of YCrOs at the GGA-PBE level of DFT.

## Properties
**Final energy**: -8.54 eV per atom
**Energy relative to the lowest polymorph listed for this composition**: 471.1 meV per atom

Cell and atoms, written as POSCAR:
```
YCrOs
1.0
-4.175 3.378 0.628
-6.134 -2.712 -2.914
-3.555 -1.199 6.092
Y Cr Os
4 4 4
Cartesian
-7.583 -0.648 -0.376
-3.450 -0.112 0.942
-10.413 -0.422 2.864
-6.280 0.115 4.182
-4.702 2.340 2.704
-4.889 2.601 0.058
-5.419 -1.935 -2.344
-3.027 -0.161 4.015
-5.233 -2.151 0.055
-6.026 0.946 1.402
-7.837 -1.479 2.404
-8.630 1.618 3.751
```

***

[8]
Computed, not measured: a relaxed structure of Nd5GeTe4 at the GGA-PBE level of DFT.

## Properties
**Final energy**: -5.48 eV per atom
**Formation energy (no corrections)**: -1.38 eV/atom

Cell and atoms, written as POSCAR:
```
Nd5GeTe4
1.0
-5.473 2.518 1.843
-4.158 -4.577 4.674
0.470 4.103 6.559
Nd Ge Te
5 1 4
Cartesian
-6.125 3.919 8.781
-4.634 -0.472 8.439
-4.537 2.521 4.641
-3.045 -1.870 4.299
-2.743 1.262 0.924
-0.006 0.003 0.002
-3.513 2.444 7.788
-7.406 0.886 9.124
-1.766 1.164 3.957
-5.659 -0.394 5.292
```

***

[9]
Computed, not measured: a relaxed structure of LaPmGaRh at the GGA-PBE level of DFT.

## Properties
**Final energy**: -5.68 eV per atom
**Energy relative to the lowest polymorph listed for this composition**: 0.0 meV per atom

Cell and atoms, written as POSCAR:
```
LaPmGaRh
1.0
-2.869 -0.998 3.296
-2.422 -2.236 -2.785
4.152 -3.779 -0.578
La Pm Ga Rh
1 1 1 1
Cartesian
0.850 -1.338 0.335
-0.669 -4.728 1.034
-2.294 -2.171 0.394
2.257 -3.553 0.889
```

***

[10]
Computed, not measured: a relaxed structure of Tb2TmTl at the GGA-PBE level of DFT.

## Properties
**Final energy**: -4.18 eV per atom
**Energy relative to the lowest polymorph listed for this composition**: 22.3 meV per atom

Cell and atoms, written as POSCAR:
```
Tb2TmTl
1.0
3.591 0.000 0.000
0.000 3.591 0.000
0.000 0.000 9.250
Tl Tm Tb
1 1 2
Cartesian
1.795 1.795 0.000
1.795 1.795 4.625
0.000 0.000 7.095
0.000 0.000 2.154
```

***

[11]
Computed, not measured: a relaxed structure of Pm3Dy4Tm5 at the GGA-PBE level of DFT.

## Properties
**Final energy**: -4.56 eV per atom
**Energy relative to the lowest polymorph listed for this composition**: 0.0 meV per atom

Cell and atoms, written as POSCAR:
```
Pm3Dy4Tm5
1.0
-1.696 -2.048 -6.574
-0.625 -5.750 9.596
-5.093 7.800 -8.741
Pm Dy Tm
3 4 5
Cartesian
-2.792 0.446 -5.149
-2.547 3.900 -4.370
-4.623 -0.443 -0.569
-5.484 -1.471 -3.859
-6.068 0.972 -6.371
-1.346 -0.969 0.652
-1.930 1.473 -1.859
-5.232 2.000 -3.080
-3.395 2.876 -7.657
-1.589 -4.408 -0.128
-5.825 4.411 -5.590
-2.182 -1.998 -2.639
```

***

[12]
Computed, not measured: a relaxed structure of BaV10S16 at the GGA-PBE level of DFT.

## Properties
**Final energy**: -6.95 eV per atom
**Formation energy (no corrections)**: -1.06 eV/atom

Cell and atoms, written as POSCAR:
```
BaV10S16
1.0
6.480 0.004 0.004
1.623 8.760 -0.001
3.242 2.101 8.208
Ba V S
1 10 16
Cartesian
0.000 0.000 0.000
6.508 3.996 1.153
3.216 3.982 1.166
8.129 6.882 7.045
4.836 6.869 7.058
4.861 1.052 4.106
1.621 1.050 4.104
8.110 7.245 4.051
4.859 7.207 4.061
6.486 3.657 4.150
3.235 3.619 4.160
6.468 7.943 2.591
3.263 7.945 2.582
8.081 2.919 5.630
4.877 2.921 5.620
8.105 4.943 2.801
4.857 4.933 2.803
6.488 5.931 5.408
3.240 5.921 5.410
3.247 5.951 0.020
6.468 5.976 0.044
4.876 4.888 8.167
8.098 4.913 8.191
6.484 1.976 2.624
3.240 1.965 2.621
8.105 8.899 5.590
4.861 8.888 5.587
```

***

[13]
Computed, not measured: a relaxed structure of Pm2InGe at the GGA-PBE level of DFT.

## Properties
**Final energy**: -4.78 eV per atom

Cell and atoms, written as POSCAR:
```
Pm2InGe
1.0
-4.884 2.259 -3.656
-3.271 -0.769 5.570
5.234 3.893 0.363
Pm In Ge
4 2 2
Cartesian
-2.394 0.437 0.562
-1.863 3.448 -1.168
-5.761 1.052 1.352
-1.057 1.934 3.445
-4.541 1.615 -1.693
-3.614 -0.125 3.608
-3.422 3.371 1.705
0.502 2.011 0.572
```

***

[14]
Computed, not measured: a relaxed structure of BeCu2Se at the GGA-PBE level of DFT.

## Properties
**Final energy**: -3.66 eV per atom
**Formation energy (no corrections)**: 0.19 eV/atom
**Energy relative to the lowest polymorph listed for this composition**: 116.2 meV per atom

Cell and atoms, written as POSCAR:
```
BeCu2Se
1.0
4.138 0.008 0.005
2.747 3.095 0.005
0.640 0.288 4.345
Be Cu Se
1 2 1
Cartesian
1.881 0.848 1.089
6.890 3.105 0.200
3.757 1.693 1.988
5.643 2.543 3.267
```

***

[15]
Computed, not measured: a relaxed structure of SrUSe3 at the GGA-PBE level of DFT.

## Properties
**Final energy**: -6.19 eV per atom
**Formation energy (no corrections)**: -1.50 eV/atom
**Energy relative to the lowest polymorph listed for this composition**: 0.0 meV per atom

Cell and atoms, written as POSCAR:
```
SrUSe3
1.0
4.286 0.000 0.000
0.000 7.861 0.000
0.000 0.000 16.423
Sr U Se
4 4 12
Cartesian
3.215 6.908 13.057
1.072 0.953 3.366
3.215 2.977 11.577
1.072 4.883 4.845
1.072 2.104 15.747
1.072 6.034 8.887
3.215 1.826 7.536
3.215 5.757 0.675
1.072 2.924 9.099
3.215 6.521 3.409
3.215 3.854 14.866
3.215 7.784 9.767
3.215 4.937 7.323
1.072 0.076 6.655
1.072 6.854 15.535
3.215 2.591 4.802
1.072 5.270 11.621
1.072 1.339 13.013
3.215 1.007 0.888
1.072 4.007 1.556
```

***

[16]
Computed, not measured: a relaxed structure of PaTiAlRu at the GGA-PBE level of DFT.

## Properties
**Final energy**: -7.98 eV per atom

Cell and atoms, written as POSCAR:
```
PaTiAlRu
1.0
4.630 0.000 0.000
2.315 4.010 0.000
2.315 1.337 3.780
Ru Pa Al Ti
1 1 1 1
Cartesian
2.315 1.337 0.945
0.000 0.000 0.000
4.630 2.673 1.890
6.945 4.010 2.835
```

***

[17]
Computed, not measured: a relaxed structure of CaNd5Dy6 at the GGA-PBE level of DFT.

## Properties
**Final energy**: -4.41 eV per atom

Cell and atoms, written as POSCAR:
```
CaNd5Dy6
1.0
6.215 0.015 -0.906
-1.047 8.023 0.185
0.120 0.617 8.069
Ca Nd Dy
1 5 6
Cartesian
0.000 0.000 0.000
2.259 6.774 1.069
-0.654 5.527 2.842
2.644 4.328 3.674
-0.273 3.113 5.412
3.030 1.881 6.278
3.749 7.710 4.149
1.144 3.450 0.532
0.892 6.465 5.941
4.396 2.190 1.407
4.144 5.205 6.815
1.539 0.945 3.199
```

***

[18]
Computed, not measured: a relaxed structure of YHo3C8 at the GGA-PBE level of DFT.

## Properties
**Final energy**: -8.02 eV per atom
**Energy relative to the lowest polymorph listed for this composition**: 0.0 meV per atom

Cell and atoms, written as POSCAR:
```
YHo3C8
1.0
-3.288 -1.311 0.920
-0.452 -1.256 -3.406
5.199 -10.742 3.270
Y Ho C
1 3 8
Cartesian
0.000 0.000 0.000
-0.570 -3.971 -0.425
2.599 -5.371 1.635
2.028 -9.338 1.209
1.030 -2.128 0.648
0.455 -6.089 0.220
3.622 -7.484 2.278
3.055 -11.460 1.855
-1.597 -1.849 -1.071
1.577 -3.258 0.992
1.003 -7.220 0.564
4.169 -8.614 2.622
```

***

[19]
Computed, not measured: a relaxed structure of Tm3ZrCu4 at the GGA-PBE level of DFT.

## Properties
**Final energy**: -5.02 eV per atom

Cell and atoms, written as POSCAR:
```
Tm3ZrCu4
1.0
-0.652 1.653 2.875
-0.592 -2.941 1.557
13.075 -0.816 3.433
Tm Cu Zr
3 4 1
Cartesian
2.580 -0.843 3.056
5.916 -1.052 3.932
9.251 -1.260 4.808
11.615 -0.725 3.050
1.460 -0.091 0.383
4.880 -0.304 1.281
8.195 -0.511 2.151
-0.622 -0.644 2.216
```

***

[20]
Computed, not measured: a relaxed structure of CeHoTeN2 at the GGA-PBE level of DFT.

## Properties
**Final energy**: -7.39 eV per atom
**Formation energy (no corrections)**: -1.32 eV/atom

Cell and atoms, written as POSCAR:
```
CeHoTeN2
1.0
-3.524 -0.965 -1.558
1.811 -2.356 -2.635
0.381 -3.451 6.340
Ce Ho Te N
1 1 1 2
Cartesian
-0.163 -1.749 1.452
-1.171 -5.040 0.708
-0.857 -1.665 -2.093
-1.999 -3.028 1.334
0.668 -3.724 0.796
```

***

[21]
Computed, not measured: a relaxed structure of TbErS at the GGA-PBE level of DFT.

## Properties
**Final energy**: -5.71 eV per atom
**Formation energy (no corrections)**: -1.27 eV/atom

Cell and atoms, written as POSCAR:
```
TbErS
1.0
3.758 0.000 0.000
-1.879 3.255 0.000
0.000 0.000 6.298
S Tb Er
1 1 1
Cartesian
0.000 2.170 4.178
0.000 0.000 5.879
1.879 1.085 2.539
```

***

[22]
Computed, not measured: a relaxed structure of Tb12Y5Ho2 at the GGA-PBE level of DFT.

## Properties
**Final energy**: -4.99 eV per atom
**Energy relative to the lowest polymorph listed for this composition**: 0.0 meV per atom

Cell and atoms, written as POSCAR:
```
Tb12Y5Ho2
1.0
-3.875 4.140 2.078
-6.018 -2.154 -7.326
-0.094 -6.893 9.956
Tb Y Ho
12 5 2
Cartesian
-3.536 1.801 3.660
-4.197 -7.075 3.679
-6.327 -5.872 6.122
-4.202 -4.206 0.000
-6.582 -0.920 -0.933
-7.829 -3.775 0.456
-2.159 -1.132 4.251
-5.785 -0.701 4.708
-3.405 -3.987 5.641
-5.790 2.168 1.029
-3.660 0.965 -1.414
-6.452 -6.708 1.048
-5.739 -3.871 3.149
-4.599 -2.145 -3.316
-0.047 -3.446 4.978
-5.389 -2.763 8.024
-4.248 -1.036 1.559
-8.808 -5.496 3.416
-1.179 0.589 1.291
```